DFT (GGA-PBE) results for a relaxed structure of HfSc2Tl2.

Computed properties:
- crystal system = tetragonal
- SG = I4/mmm, No. 139
- formation energy (eV per atom) = 0.42
- uncorrected energy (eV/atom) = -5.05

Lattice parameters (Å, degrees): 7.554 7.554 7.554 146.66 146.66 47.87
Element x y z (fractional)
Hf1 0.000 0.000 0.000
Sc1 0.400 0.400 0.000
Sc2 0.600 0.600 0.000
Tl1 0.250 0.750 0.500
Tl2 0.750 0.250 0.500